Pm6SmHo2Tm3 after structural relaxation, computed with PBE.

Summary:
Mass density in Mg/m³: 7.91
Size of the total moment in μB per cell: 0.00
ΔH_f (0 K) in eV per atom: 0.015
D(E_F) in states/eV per cell: 27.24

a = 6.2267 Å, b = 10.7823 Å, c = 11.7920 Å
α = 90.00°, β = 100.10°, γ = 90.00°
Space group C2/m (No. 12)
Asymmetric unit:
Pm1 0.2493 0.0000 0.2479 [4 per cell]
Pm2 0.2487 0.3331 0.2478 [8 per cell]
Sm1 0.0000 0.0000 0.5000 [2 per cell]
Ho1 0.0000 0.3334 0.5000 [4 per cell]
Tm1 0.0000 0.1668 0.0000 [4 per cell]
Tm2 0.0000 0.5000 0.0000 [2 per cell]